Entry 1:
This record from Alexandria via LeMat-Bulk describes an optimized crystal structure of Ti2AuC. The functional is PBE-GGA.

Summary:
- Crystal system: trigonal
- DOS at the Fermi energy: 12.74 states/eV per cell
- Magnetization: 0.0 μB/f.u.
- Final energy: -7.712 eV/atom
- DFT formation energy: -62 kJ per mole of atoms

a = 3.073 Å, b = 3.073 Å, c = 20.688 Å
α = 90.00°, β = 90.00°, γ = 120.00°
Sites, in units of the cell vectors:
Ti 0.000 0.000 0.223
Ti 0.000 0.000 0.777
Ti 0.333 0.667 0.444
Ti 0.333 0.667 0.890
Ti 0.667 0.333 0.110
Ti 0.667 0.333 0.556
Au 0.000 0.000 0.000
Au 0.333 0.667 0.667
Au 0.667 0.333 0.333
C 0.000 0.000 0.500
C 0.333 0.667 0.167
C 0.667 0.333 0.833

Entry 2:
This record from Alexandria via LeMat-Bulk describes an optimized crystal structure of Ti4Au2C. The functional is PBE-GGA.

Summary:
- Crystal system: orthorhombic
- DOS at the Fermi energy: 13.49 states/eV per cell
- Magnetization: 0.0 μB/f.u.
- Relative energy among the computed polymorphs: 0.0 meV/atom
- Final energy: -7.217 eV/atom
- DFT formation energy: -44 kJ per mole of atoms

a = 7.261 Å, b = 9.877 Å, c = 3.134 Å
α = 90.00°, β = 90.00°, γ = 90.00°
Sites, in units of the cell vectors:
Ti 0.144 0.182 0.000
Ti 0.170 0.932 0.500
Ti 0.330 0.432 0.500
Ti 0.356 0.682 0.000
Ti 0.644 0.318 0.000
Ti 0.670 0.568 0.500
Ti 0.830 0.068 0.500
Ti 0.856 0.818 0.000
Au 0.049 0.637 0.500
Au 0.451 0.137 0.500
Au 0.549 0.863 0.500
Au 0.951 0.363 0.500
C 0.000 0.000 0.000
C 0.500 0.500 0.000

Entry 3:
This record from Alexandria via LeMat-Bulk describes an optimized crystal structure of Ti4Au2C. The functional is PBE-GGA.

Summary:
- Crystal system: tetragonal
- DOS at the Fermi energy: 10.38 states/eV per cell
- Magnetization: 0.0 μB/f.u.
- Relative energy among the computed polymorphs: 43.4 meV/atom
- Final energy: -7.174 eV/atom
- DFT formation energy: -39 kJ per mole of atoms

a = 4.190 Å, b = 4.190 Å, c = 13.072 Å
α = 90.00°, β = 90.00°, γ = 90.00°
Sites, in units of the cell vectors:
Ti 0.000 0.000 0.165
Ti 0.000 0.000 0.835
Ti 0.000 0.500 0.000
Ti 0.000 0.500 0.500
Ti 0.500 0.000 0.000
Ti 0.500 0.000 0.500
Ti 0.500 0.500 0.335
Ti 0.500 0.500 0.665
Au 0.000 0.000 0.362
Au 0.000 0.000 0.638
Au 0.500 0.500 0.138
Au 0.500 0.500 0.862
C 0.000 0.000 0.000
C 0.500 0.500 0.500